Entry 1:
Density functional theory data (PBE-GGA) for a geometry-optimized Se3Br structure.

It has space group Immm (No. 71), with a = 3.783 Å, b = 7.748 Å, c = 8.552 Å, α = 90.00°, β = 90.00° and γ = 90.00°. The asymmetric unit holds Se at (0.000, 0.000, 0.000), Se at (0.000, 0.272, 0.500) and Br at (0.000, 0.500, 0.000).

For the total magnetization, the calculation gives 0.00 μB/f.u. As for the total energy: -22.42 eV for the cell shown. As for the relative energy among the computed polymorphs: 176 meV per atom. Its raw formation energy is 0.9 eV per formula unit.

***

Entry 2:
Density functional theory data (PBE-GGA) for a geometry-optimized ThPt2Au3 structure.

It has space group C2/c (No. 15), with a = 6.670 Å, b = 10.182 Å, c = 7.364 Å, α = 90.00°, β = 91.88° and γ = 90.00°. The asymmetric unit holds Th at (0.000, 0.075, 0.250), Pt at (0.242, 0.384, 0.034), Au at (0.000, 0.270, 0.750) and Au at (0.169, 0.365, 0.412).

For the total magnetization, the calculation gives 0.00 μB/f.u. As for the total energy: -128.77 eV for the cell shown. For the energy relative to the elements, the calculation gives -2.86 eV/f.u.

***

Entry 3:
Density functional theory data (PBE-GGA) for a geometry-optimized La2MnSb structure.

It has space group Fmmm (No. 69), with a = 7.041 Å, b = 7.081 Å, c = 9.057 Å, α = 90.00°, β = 90.00° and γ = 90.00°. The asymmetric unit holds La at (0.250, 0.250, 0.250), Mn at (0.000, 0.000, 0.000) and Sb at (0.000, 0.000, 0.500).

For the total magnetization, the calculation gives 3.49 μB/f.u. As for the total energy: -97.03 eV for the cell shown. Its raw formation energy is -1.1 eV per formula unit.

***

Entry 4:
Density functional theory data (PBE-GGA) for a geometry-optimized RbMnTe2N structure.

It has space group P4/mmm (No. 123), with a = 6.065 Å, b = 6.065 Å, c = 3.493 Å, α = 90.00°, β = 90.00° and γ = 90.00°. The asymmetric unit holds Rb at (0.000, 0.000, 0.000), Mn at (0.500, 0.500, 0.500), Te at (0.000, 0.500, 0.500) and N at (0.500, 0.500, 0.000).

For the total magnetization, the calculation gives 2.08 μB/f.u. As for the total energy: -25.12 eV for the cell shown. As for the relative energy among the computed polymorphs: 0 meV per atom. Its raw formation energy is -0.4 eV per formula unit.

***

no.,N(E_F) (states/eV per cell)
1,4.37
2,11.91
3,23.64
4,1.53